(1)
Material: NaMnBeV2
Method: DFT, GGA-PBE
State: optimized geometry

Output
As for the energy of formation from the pure elements: 1493 meV/atom.

Cell lengths 4.192, 4.192, 4.250 Å; angles 90.00, 90.00, 90.00 degrees
Sites, in units of the cell vectors:
Na 0.000 0.000 0.000
Mn 0.500 0.500 0.000
Be 0.000 0.000 0.500
V 0.000 0.500 0.500
V 0.500 0.000 0.500

(2)
Material: Ba3SbAs
Method: DFT, GGA-PBE
State: optimized geometry

Output
The value obtained for the uncorrected formation energy is -4.374 eV/f.u. The value obtained for the relative energy among the computed polymorphs is 0.82 eV/f.u.

Cell lengths 10.001, 10.001, 6.043 Å; angles 90.00, 90.00, 130.93 degrees
Sites, in units of the cell vectors:
Ba 0.000 0.500 0.500
Ba 0.153 0.847 0.000
Ba 0.280 0.280 0.500
Ba 0.500 0.000 0.500
Ba 0.720 0.720 0.500
Ba 0.847 0.153 0.000
Sb 0.347 0.653 0.000
Sb 0.653 0.347 0.000
As 0.112 0.888 0.500
As 0.888 0.112 0.500

(3)
Material: Ho2TlTe
Method: DFT, GGA-PBE
State: optimized geometry

Output
The value obtained for the uncorrected formation energy is -2.631 eV/f.u. The value obtained for the relative energy among the computed polymorphs is 0.50 eV/f.u.

Cell lengths 3.665, 3.665, 8.116 Å; angles 90.00, 90.00, 90.00 degrees
Sites, in units of the cell vectors:
Ho 0.000 0.000 0.239
Ho 0.000 0.000 0.761
Tl 0.500 0.500 0.500
Te 0.500 0.500 0.000

(4)
Material: NaAg2BiMo
Method: DFT, GGA-PBE
State: optimized geometry

Output
As for the energy of formation from the pure elements: 1294 meV/atom.

Cell lengths 4.842, 4.842, 5.452 Å; angles 90.00, 90.00, 90.00 degrees
Sites, in units of the cell vectors:
Na 0.000 0.000 0.000
Ag 0.000 0.500 0.000
Ag 0.500 0.000 0.000
Bi 0.000 0.000 0.500
Mo 0.500 0.500 0.500

(5)
Material: Sm4Dy19Tm6
Method: DFT, GGA-PBE
State: optimized geometry

Output
As for the energy of formation from the pure elements: 395 meV/atom.

Cell lengths 10.774, 10.774, 10.774 Å; angles 109.47, 109.47, 109.47 degrees
Sites, in units of the cell vectors:
Sm 0.000 0.000 0.358
Sm 0.000 0.358 0.000
Sm 0.358 0.000 0.000
Sm 0.642 0.642 0.642
Dy 0.000 0.000 0.000
Dy 0.000 0.264 0.264
Dy 0.000 0.736 0.736
Dy 0.011 0.214 0.672
Dy 0.203 0.989 0.661
Dy 0.214 0.672 0.011
Dy 0.264 0.000 0.264
Dy 0.264 0.264 0.000
Dy 0.328 0.542 0.339
Dy 0.339 0.328 0.542
Dy 0.458 0.786 0.797
Dy 0.542 0.339 0.328
Dy 0.661 0.203 0.989
Dy 0.672 0.011 0.214
Dy 0.736 0.000 0.736
Dy 0.736 0.736 0.000
Dy 0.786 0.797 0.458
Dy 0.797 0.458 0.786
Dy 0.989 0.661 0.203
Tm 0.126 0.500 0.626
Tm 0.374 0.874 0.500
Tm 0.500 0.374 0.874
Tm 0.500 0.626 0.126
Tm 0.626 0.126 0.500
Tm 0.874 0.500 0.374

(6)
Material: CrCu2W
Method: DFT, GGA-PBE
State: optimized geometry

Output
As for the energy of formation from the pure elements: 301 meV/atom. The value obtained for the relative energy among the computed polymorphs is 0.22 eV/f.u.

Cell lengths 2.541, 4.175, 4.960 Å; angles 90.00, 95.92, 90.00 degrees
Sites, in units of the cell vectors:
Cr 0.000 0.000 0.000
Cu 0.619 0.000 0.489
Cu 0.623 0.500 0.237
W 0.215 0.500 0.736

(7)
Material: CaFeCl2
Method: DFT, GGA-PBE
State: optimized geometry

Output
The value obtained for the uncorrected formation energy is -2.502 eV/f.u. The value obtained for the relative energy among the computed polymorphs is 0.80 eV/f.u.

Cell lengths 6.923, 6.923, 6.923 Å; angles 90.00, 90.00, 90.00 degrees
Sites, in units of the cell vectors:
Ca 0.000 0.000 0.000
Ca 0.000 0.500 0.500
Ca 0.500 0.000 0.500
Ca 0.500 0.500 0.000
Fe 0.000 0.000 0.500
Fe 0.000 0.500 0.000
Fe 0.500 0.000 0.000
Fe 0.500 0.500 0.500
Cl 0.250 0.250 0.250
Cl 0.250 0.250 0.750
Cl 0.250 0.750 0.250
Cl 0.250 0.750 0.750
Cl 0.750 0.250 0.250
Cl 0.750 0.250 0.750
Cl 0.750 0.750 0.250
Cl 0.750 0.750 0.750

(8)
Material: YTmPtRh
Method: DFT, GGA-PBE
State: optimized geometry

Output
As for the energy of formation from the pure elements: -1069 meV/atom.

Cell lengths 6.883, 6.883, 6.883 Å; angles 90.00, 90.00, 90.00 degrees
Sites, in units of the cell vectors:
Y 0.000 0.000 0.000
Y 0.000 0.500 0.500
Y 0.500 0.000 0.500
Y 0.500 0.500 0.000
Tm 0.000 0.000 0.500
Tm 0.000 0.500 0.000
Tm 0.500 0.000 0.000
Tm 0.500 0.500 0.500
Pt 0.250 0.250 0.250
Pt 0.250 0.750 0.750
Pt 0.750 0.250 0.750
Pt 0.750 0.750 0.250
Rh 0.250 0.250 0.750
Rh 0.250 0.750 0.250
Rh 0.750 0.250 0.250
Rh 0.750 0.750 0.750

(9)
Material: PbC
Method: DFT, GGA-PBE
State: optimized geometry

Output
As for the energy of formation from the pure elements: 2190 meV/atom. The value obtained for the relative energy among the computed polymorphs is 2.68 eV/f.u.

Cell lengths 3.454, 3.454, 13.259 Å; angles 90.00, 90.00, 90.00 degrees
Sites, in units of the cell vectors:
Pb 0.000 0.250 0.375
Pb 0.000 0.750 0.625
Pb 0.500 0.250 0.125
Pb 0.500 0.750 0.875
C 0.000 0.250 0.875
C 0.000 0.750 0.125
C 0.500 0.250 0.625
C 0.500 0.750 0.375

(10)
Material: In2BiTe4Pb
Method: DFT, GGA-PBE
State: optimized geometry

Output
The value obtained for the uncorrected formation energy is -2.304 eV/f.u.

Cell lengths 7.904, 4.524, 7.938 Å; angles 90.00, 109.33, 90.00 degrees
Sites, in units of the cell vectors:
In 0.000 0.000 0.000
In 0.500 0.500 0.000
Bi 0.000 0.500 0.500
Te 0.242 0.500 0.247
Te 0.244 0.000 0.748
Te 0.756 0.000 0.252
Te 0.758 0.500 0.753
Pb 0.500 0.000 0.500

(11)
Material: AcSmPt2
Method: DFT, GGA-PBE
State: optimized geometry

Output
As for the energy of formation from the pure elements: -1026 meV/atom. The value obtained for the relative energy among the computed polymorphs is 0.50 eV/f.u.

Cell lengths 4.204, 4.204, 21.861 Å; angles 90.00, 90.00, 120.00 degrees
Sites, in units of the cell vectors:
Ac 0.000 0.000 0.000
Ac 0.333 0.667 0.667
Ac 0.667 0.333 0.333
Sm 0.000 0.000 0.173
Sm 0.333 0.667 0.839
Sm 0.667 0.333 0.506
Pt 0.000 0.000 0.581
Pt 0.000 0.000 0.758
Pt 0.333 0.667 0.248
Pt 0.333 0.667 0.424
Pt 0.667 0.333 0.091
Pt 0.667 0.333 0.914

(12)
Material: Li6Al2Au
Method: DFT, GGA-PBE
State: optimized geometry

Output
As for the energy of formation from the pure elements: -275 meV/atom.

Cell lengths 5.240, 5.240, 5.240 Å; angles 96.96, 96.96, 96.96 degrees
Sites, in units of the cell vectors:
Li 0.000 0.334 0.666
Li 0.000 0.666 0.334
Li 0.334 0.000 0.666
Li 0.334 0.666 0.000
Li 0.666 0.000 0.334
Li 0.666 0.334 0.000
Al 0.170 0.170 0.170
Al 0.830 0.830 0.830
Au 0.500 0.500 0.500

(13)
Material: Na3LiBe2H8
Method: DFT, GGA-PBE
State: optimized geometry

Output
Its total energy is -43.79 eV per cell.

Cell lengths 4.958, 4.958, 6.381 Å; angles 90.00, 90.00, 120.00 degrees
Sites, in units of the cell vectors:
Na 0.000 0.000 0.000
Na 0.333 0.667 0.673
Na 0.667 0.333 0.327
Li 0.000 0.000 0.500
Be 0.333 0.667 0.230
Be 0.667 0.333 0.770
H 0.177 0.354 0.316
H 0.177 0.823 0.316
H 0.333 0.667 0.011
H 0.354 0.177 0.684
H 0.646 0.823 0.316
H 0.667 0.333 0.989
H 0.823 0.177 0.684
H 0.823 0.646 0.684

(14)
Material: Ba2SnPt4Pb3
Method: DFT, GGA-PBE
State: optimized geometry

Output
As for the energy of formation from the pure elements: -581 meV/atom.

Cell lengths 4.948, 4.948, 10.792 Å; angles 90.00, 90.00, 90.00 degrees
Sites, in units of the cell vectors:
Ba 0.000 0.500 0.243
Ba 0.500 0.000 0.757
Sn 0.000 0.000 0.500
Pt 0.000 0.000 0.000
Pt 0.000 0.500 0.620
Pt 0.500 0.000 0.380
Pt 0.500 0.500 0.000
Pb 0.000 0.500 0.881
Pb 0.500 0.000 0.119
Pb 0.500 0.500 0.500

(15)
Material: GaCu2Au2
Method: DFT, GGA-PBE
State: optimized geometry

Output
As for the energy of formation from the pure elements: -109 meV/atom. The value obtained for the relative energy among the computed polymorphs is 0.00 eV/f.u.

Cell lengths 5.261, 5.261, 7.132 Å; angles 110.48, 110.48, 57.29 degrees
Sites, in units of the cell vectors:
Ga 0.211 0.789 0.750
Ga 0.789 0.211 0.250
Cu 0.254 0.539 0.048
Cu 0.461 0.746 0.452
Cu 0.539 0.254 0.548
Cu 0.746 0.461 0.952
Au 0.049 0.314 0.650
Au 0.314 0.049 0.150
Au 0.686 0.951 0.850
Au 0.951 0.686 0.350

(16)
Material: BeZnTe2
Method: DFT, GGA-PBE
State: optimized geometry

Output
The value obtained for the uncorrected formation energy is 0.877 eV/f.u. The value obtained for the relative energy among the computed polymorphs is 2.51 eV/f.u.

Cell lengths 3.670, 3.851, 12.688 Å; angles 90.00, 90.00, 90.00 degrees
Sites, in units of the cell vectors:
Be 0.000 0.000 0.000
Be 0.500 0.500 0.500
Zn 0.000 0.500 0.244
Zn 0.500 0.000 0.744
Te 0.000 0.000 0.412
Te 0.000 0.500 0.643
Te 0.500 0.000 0.143
Te 0.500 0.500 0.912

(17)
Material: PmScGeOs
Method: DFT, GGA-PBE
State: optimized geometry

Output
As for the energy of formation from the pure elements: -286 meV/atom.

Cell lengths 6.885, 6.885, 6.885 Å; angles 90.00, 90.00, 90.00 degrees
Sites, in units of the cell vectors:
Pm 0.000 0.000 0.000
Pm 0.000 0.500 0.500
Pm 0.500 0.000 0.500
Pm 0.500 0.500 0.000
Sc 0.000 0.000 0.500
Sc 0.000 0.500 0.000
Sc 0.500 0.000 0.000
Sc 0.500 0.500 0.500
Ge 0.250 0.250 0.250
Ge 0.250 0.750 0.750
Ge 0.750 0.250 0.750
Ge 0.750 0.750 0.250
Os 0.250 0.250 0.750
Os 0.250 0.750 0.250
Os 0.750 0.250 0.250
Os 0.750 0.750 0.750

(18)
Material: Ac3Sm3TmS8
Method: DFT, GGA-PBE
State: optimized geometry

Output
The value obtained for the uncorrected formation energy is -30.610 eV/f.u.

Cell lengths 8.364, 8.364, 8.364 Å; angles 58.37, 58.37, 58.37 degrees
Sites, in units of the cell vectors:
Ac 0.000 0.500 0.500
Ac 0.500 0.000 0.500
Ac 0.500 0.500 0.000
Sm 0.000 0.000 0.500
Sm 0.000 0.500 0.000
Sm 0.500 0.000 0.000
Tm 0.500 0.500 0.500
S 0.243 0.243 0.243
S 0.251 0.736 0.736
S 0.264 0.264 0.749
S 0.264 0.749 0.264
S 0.736 0.251 0.736
S 0.736 0.736 0.251
S 0.749 0.264 0.264
S 0.757 0.757 0.757

(19)
Material: KLi2TbI6
Method: DFT, GGA-PBE
State: optimized geometry

Output
The value obtained for the uncorrected formation energy is -13.052 eV/f.u.

Cell lengths 8.529, 8.529, 8.529 Å; angles 55.00, 55.00, 55.00 degrees
Sites, in units of the cell vectors:
K 0.000 0.000 0.000
Li 0.196 0.196 0.196
Li 0.703 0.703 0.703
Tb 0.516 0.516 0.516
I 0.105 0.451 0.783
I 0.345 0.933 0.541
I 0.451 0.783 0.105
I 0.541 0.345 0.933
I 0.783 0.105 0.451
I 0.933 0.541 0.345

(20)
Material: AuC2Br
Method: DFT, GGA-PBE
State: optimized geometry

Output
The value obtained for the uncorrected formation energy is 8.895 eV/f.u. The value obtained for the relative energy among the computed polymorphs is 0.00 eV/f.u.

Cell lengths 5.305, 5.305, 10.173 Å; angles 90.00, 90.00, 90.00 degrees
Sites, in units of the cell vectors:
Au 0.000 0.000 0.000
Au 0.000 0.500 0.250
Au 0.500 0.000 0.750
Au 0.500 0.500 0.500
C 0.182 0.250 0.125
C 0.250 0.682 0.375
C 0.250 0.818 0.875
C 0.318 0.250 0.625
C 0.682 0.750 0.625
C 0.750 0.182 0.875
C 0.750 0.318 0.375
C 0.818 0.750 0.125
Br 0.000 0.000 0.500
Br 0.000 0.500 0.750
Br 0.500 0.000 0.250
Br 0.500 0.500 0.000

(21)
Material: Ni6GeB
Method: DFT, GGA-PBE
State: optimized geometry

Output
As for the energy of formation from the pure elements: -16 meV/atom.

Cell lengths 4.584, 4.584, 4.584 Å; angles 99.90, 99.90, 99.90 degrees
Sites, in units of the cell vectors:
Ni 0.209 0.209 0.600
Ni 0.209 0.600 0.209
Ni 0.400 0.791 0.791
Ni 0.600 0.209 0.209
Ni 0.791 0.400 0.791
Ni 0.791 0.791 0.400
Ge 0.000 0.000 0.000
B 0.500 0.500 0.500

(22)
Material: CsCdIn2Pd
Method: DFT, GGA-PBE
State: optimized geometry

Output
As for the energy of formation from the pure elements: -175 meV/atom.

Cell lengths 5.333, 5.333, 5.491 Å; angles 90.00, 90.00, 90.00 degrees
Sites, in units of the cell vectors:
Cs 0.000 0.000 0.000
Cd 0.500 0.500 0.000
In 0.000 0.500 0.500
In 0.500 0.000 0.500
Pd 0.500 0.500 0.500

(23)
Material: TiSb2TeF
Method: DFT, GGA-PBE
State: optimized geometry

Output
The value obtained for the uncorrected formation energy is -1.257 eV/f.u. The value obtained for the relative energy among the computed polymorphs is 0.00 eV/f.u.

Cell lengths 5.202, 5.202, 5.140 Å; angles 90.00, 90.00, 90.00 degrees
Sites, in units of the cell vectors:
Ti 0.000 0.000 0.000
Sb 0.000 0.500 0.000
Sb 0.500 0.000 0.000
Te 0.000 0.000 0.500
F 0.500 0.500 0.500

(24)
Material: Pr2Sm2Y
Method: DFT, GGA-PBE
State: optimized geometry

Output
As for the energy of formation from the pure elements: 27 meV/atom. The value obtained for the relative energy among the computed polymorphs is 0.00 eV/f.u.

Cell lengths 8.702, 8.702, 6.942 Å; angles 103.57, 103.57, 43.24 degrees
Sites, in units of the cell vectors:
Pr 0.114 0.285 0.153
Pr 0.285 0.114 0.653
Pr 0.715 0.886 0.347
Pr 0.886 0.715 0.847
Sm 0.320 0.484 0.549
Sm 0.484 0.320 0.049
Sm 0.516 0.680 0.951
Sm 0.680 0.516 0.451
Y 0.083 0.917 0.250
Y 0.917 0.083 0.750